HfAlSi, optimized geometry, DFT PBE; formation energy without anion corrections = -0.436 eV per atom
1.0
1.8217 -7.7720 0.0000
1.8217 7.7720 0.0000
0.0000 0.0000 3.6583
Hf Al Si
2 2 2
Cartesian
1.8217 6.2671 2.7437 Hf
1.8217 -6.2671 0.9146 Hf
1.8217 3.3112 2.7437 Al
1.8217 -3.3112 0.9146 Al
1.8217 0.7766 2.7437 Si
1.8217 -0.7766 0.9146 Si

---

CeNdTl3, optimized geometry, DFT PBE; formation enthalpy at 0 K = 0.005 eV/atom
1.0
4.5911 -6.5498 0.0000
4.5911 6.5498 0.0000
0.0000 0.0000 10.7775
Ce Nd Tl
4 4 12
Cartesian
4.5911 5.1160 8.0832 Ce
4.5911 1.4995 2.6944 Ce
4.5911 -1.4995 8.0832 Ce
4.5911 -5.1160 2.6944 Ce
2.2956 3.2749 0.0000 Nd
2.2956 3.2749 5.3888 Nd
2.2956 -3.2749 0.0000 Nd
2.2956 -3.2749 5.3888 Nd
4.5911 5.1349 1.0533 Tl
4.5911 5.1349 4.3355 Tl
2.9912 1.7387 8.0832 Tl
2.8806 0.0000 0.0000 Tl
2.8806 0.0000 5.3888 Tl
2.9912 -1.7387 2.6944 Tl
6.1910 1.7387 8.0832 Tl
6.3016 0.0000 0.0000 Tl
6.3016 0.0000 5.3888 Tl
6.1910 -1.7387 2.6944 Tl
4.5911 -5.1349 6.4420 Tl
4.5911 -5.1349 9.7243 Tl